# 1
The following is a meta-GGA SCAN calculation of a crystal of GeP2O7 relaxed with PBEsol, from Alexandria.

Unit cell a=4.6818 b=6.7590 c=7.7897 alpha=91.54 beta=92.78 gamma=105.25
With the nearest neighbours (Å) after each atom.
Fractional coordinates of all 20 atoms:
O  0.9561  0.2344  0.1212  1 P 1.53
O  0.8436  0.7061  0.5623  1 P 1.52
O  0.7954  0.0642  0.8064  1 P 1.52
O  0.6167  0.3289  0.6585  1 P 1.52
O  0.6955  0.0335  0.3637  2 P 1.60-1.61
O  0.7009  0.4067  0.3248  1 P 1.52
O  0.2046  0.9358  0.1936  1 P 1.52
O  0.0439  0.7657  0.8788  1 P 1.53
O  0.3525  0.1675  0.9204  1 P 1.53
O  0.6475  0.8325  0.0796  1 P 1.53
O  0.3045  0.9665  0.6363  2 P 1.60-1.61
O  0.2991  0.5933  0.6752  1 P 1.52
O  0.3833  0.6711  0.3415  1 P 1.52
O  0.1564  0.2939  0.4377  1 P 1.52
Ge  0.5000  0.5000  0.5000  6 O 1.86-1.88
Ge  0.0000  0.0000  0.0000  6 O 1.87-1.88
P  0.4789  0.8615  0.2373  4 O 1.52-1.60
P  0.5211  0.1385  0.7627  4 O 1.52-1.60
P  0.8886  0.2545  0.3103  4 O 1.52-1.61
P  0.1114  0.7455  0.6897  4 O 1.52-1.61

Results
SG   P-1, No. 2


# 2
The following is a meta-GGA SCAN calculation of a crystal of GeSbP2O relaxed with PBEsol, from Alexandria.

Unit cell a=3.8714 b=5.0264 c=5.0264 alpha=90.00 beta=90.00 gamma=90.00
With the nearest neighbours (Å) after each atom.
Fractional coordinates of all 5 atoms:
P  0.0000  0.0000  0.5000  2 Sb 2.51
P  0.0000  0.5000  0.0000  2 Sb 2.51
O  0.5000  0.0000  0.0000  2 Sb 1.94
Sb  0.0000  0.0000  0.0000  2 O 1.94
Ge  0.5000  0.5000  0.5000  8 P 3.17

Results
SG   P4/mmm, No. 123


# 3
The following is a meta-GGA SCAN calculation of a crystal of ScGeP2O relaxed with PBEsol, from Alexandria.

Unit cell a=3.6227 b=4.7708 c=4.7708 alpha=90.00 beta=90.00 gamma=90.00
With the nearest neighbours (Å) after each atom.
Fractional coordinates of all 5 atoms:
P  0.0000  0.5000  0.0000  2 Ge 2.39
P  0.0000  0.0000  0.5000  2 Ge 2.39
Ge  0.0000  0.0000  0.0000  2 O 1.81
Sc  0.5000  0.5000  0.5000  8 P 3.00
O  0.5000  0.0000  0.0000  2 Ge 1.81

Results
SG   P4/mmm, No. 123


# 4
The following is a meta-GGA SCAN calculation of a crystal of GeTe2PO relaxed with PBEsol, from Alexandria.

Unit cell a=3.5903 b=5.3712 c=5.3712 alpha=90.00 beta=90.00 gamma=90.00
With the nearest neighbours (Å) after each atom.
Fractional coordinates of all 5 atoms:
Ge  0.0000  0.0000  0.0000  2 O 1.80
Te  0.0000  0.5000  0.0000  2 Ge 2.69
Te  0.0000  0.0000  0.5000  2 Ge 2.69
P  0.5000  0.5000  0.5000  8 Te 3.23, 2 P 3.59
O  0.5000  0.0000  0.0000  2 Ge 1.80

Results
SG   P4/mmm, No. 123


# 5
The following is a meta-GGA SCAN calculation of a crystal of Ge4PbO9 relaxed with PBEsol, from Alexandria.

Unit cell a=4.7932 b=11.3611 c=11.3611 alpha=120.00 beta=90.00 gamma=90.00
With the nearest neighbours (Å) after each atom.
Fractional coordinates of all 42 atoms:
O  0.7102  0.7840  0.6757  2 Ge 1.79
O  0.2385  0.1542  0.0960  2 Ge 1.78-1.91
O  0.1191  0.4236  0.8203  2 Ge 1.76-1.88
O  0.5000  0.5101  0.5101  2 Ge 1.77
O  0.8809  0.6032  0.1797  2 Ge 1.76-1.88
O  0.2385  0.9418  0.8458  2 Ge 1.78-1.91
O  0.2898  0.1083  0.3243  2 Ge 1.79
O  0.6672  0.2471  0.7371  2 Ge 1.75-1.87
O  0.7615  0.0960  0.1542  2 Ge 1.78-1.91
O  0.3328  0.7371  0.2471  2 Ge 1.75-1.87
O  0.2898  0.6757  0.7840  2 Ge 1.79
O  0.7615  0.8458  0.9418  2 Ge 1.78-1.91
O  0.8809  0.8203  0.4236  2 Ge 1.76-1.88
O  0.6672  0.2629  0.5100  2 Ge 1.75-1.87
O  0.6672  0.4900  0.7529  2 Ge 1.75-1.87
O  0.3328  0.7529  0.4900  2 Ge 1.75-1.87
O  0.3328  0.5100  0.2629  2 Ge 1.75-1.87
O  0.2385  0.9040  0.0582  2 Ge 1.78-1.91
O  0.8809  0.5764  0.3968  2 Ge 1.76-1.88
O  0.7102  0.3243  0.1083  2 Ge 1.79
O  0.5000  0.0000  0.4899  2 Ge 1.77
O  0.7615  0.0582  0.9040  2 Ge 1.78-1.91
O  0.1191  0.3968  0.5764  2 Ge 1.76-1.88
O  0.7102  0.8917  0.2160  2 Ge 1.79
O  0.5000  0.4899  0.0000  2 Ge 1.77
O  0.1191  0.1797  0.6032  2 Ge 1.76-1.88
O  0.2898  0.2160  0.8917  2 Ge 1.79
Ge  0.3984  0.1503  0.4916  4 O 1.75-1.79
Ge  0.3984  0.3413  0.8497  4 O 1.75-1.79
Ge  0.5000  0.1792  0.0000  4 O 1.78-1.79
Ge  0.6016  0.4916  0.1503  4 O 1.75-1.79
Ge  0.8880  0.3333  0.6667  6 O 1.87-1.88
Ge  0.6016  0.6587  0.5084  4 O 1.75-1.79
Ge  0.6016  0.8497  0.3413  4 O 1.75-1.79
Ge  0.1120  0.6667  0.3333  6 O 1.87-1.88
Ge  0.3984  0.5084  0.6587  4 O 1.75-1.79
Ge  0.5000  0.0000  0.1792  4 O 1.78-1.79
Ge  0.5000  0.8208  0.8208  4 O 1.78-1.79
Ge  0.0000  0.0000  0.0000  6 O 1.91
Pb  0.0000  0.0000  0.6742  6 O 2.61-2.83
Pb  0.0000  0.3258  0.3258  6 O 2.61-2.83
Pb  0.0000  0.6742  0.0000  6 O 2.61-2.83

Results
SG   P321, No. 150
Energy relative to the lowest polymorph listed for this composition   0.007 eV per atom


# 6
The following is a meta-GGA SCAN calculation of a crystal of GePb3O5 relaxed with PBEsol, from Alexandria.

Unit cell a=5.2419 b=5.4755 c=10.4311 alpha=90.00 beta=90.00 gamma=93.54
With the nearest neighbours (Å) after each atom.
Fractional coordinates of all 18 atoms:
Pb  0.0249  0.9535  0.0023  3 O 2.22-2.40
Pb  0.4972  0.9764  0.7507  3 O 2.25-2.44
Pb  0.5028  0.0236  0.2507  3 O 2.25-2.44
Pb  0.4974  0.5079  0.4865  4 O 2.31-2.57
Pb  0.9751  0.0465  0.5023  3 O 2.22-2.40
Pb  0.5026  0.4921  0.9865  4 O 2.31-2.57
O  0.3863  0.0982  0.4536  3 Pb 2.22-2.31
O  0.3176  0.5874  0.2880  1 Ge 1.77
O  0.1731  0.6895  0.8434  1 Ge 1.77
O  0.1462  0.1758  0.8116  1 Ge 1.78
O  0.0659  0.4786  0.5895  1 Ge 1.76
O  0.9341  0.5214  0.0895  1 Ge 1.76
O  0.6137  0.9018  0.9536  3 Pb 2.22-2.31
O  0.6824  0.4126  0.7880  1 Ge 1.77
O  0.8538  0.8242  0.3116  1 Ge 1.78
O  0.8269  0.3105  0.3434  1 Ge 1.77
Ge  0.9850  0.5521  0.2556  4 O 1.76-1.78
Ge  0.0150  0.4479  0.7556  4 O 1.76-1.78

Results
SG   P2_1, No. 4
Energy relative to the lowest polymorph listed for this composition   0.000 eV per atom


# 7
The following is a meta-GGA SCAN calculation of a crystal of GePbO3 relaxed with PBEsol, from Alexandria.

Unit cell a=7.2579 b=9.3221 c=9.3221 alpha=113.51 beta=105.04 gamma=105.04
With the nearest neighbours (Å) after each atom.
Fractional coordinates of all 30 atoms:
O  0.5505  0.7670  0.0689  2 Ge 1.78-1.79
O  0.7835  0.3019  0.2330  2 Ge 1.78-1.79
O  0.4816  0.9311  0.6981  2 Ge 1.78-1.79
O  0.0280  0.7482  0.4952  1 Ge 1.75
O  0.2797  0.7470  0.2518  1 Ge 1.75
O  0.4495  0.2330  0.9311  2 Ge 1.78-1.79
O  0.7368  0.8903  0.4221  1 Ge 1.75
O  0.4673  0.4952  0.7470  1 Ge 1.75
O  0.9720  0.2518  0.5048  1 Ge 1.75
O  0.5184  0.0689  0.3019  2 Ge 1.78-1.79
O  0.5327  0.5048  0.2530  1 Ge 1.75
O  0.8465  0.5318  0.1097  1 Ge 1.75
O  0.3147  0.5779  0.4682  1 Ge 1.75
O  0.2165  0.6981  0.7670  2 Ge 1.78-1.79
O  0.1535  0.4682  0.8903  1 Ge 1.75
O  0.7203  0.2530  0.7482  1 Ge 1.75
O  0.2632  0.1097  0.5779  1 Ge 1.75
O  0.6853  0.4221  0.5318  1 Ge 1.75
Ge  0.6526  0.3977  0.1340  4 O 1.75-1.79
Ge  0.5186  0.8660  0.2637  4 O 1.75-1.79
Ge  0.3474  0.6023  0.8660  4 O 1.75-1.79
Ge  0.4814  0.1340  0.7363  4 O 1.75-1.79
Ge  0.7452  0.2637  0.3977  4 O 1.75-1.79
Ge  0.2548  0.7363  0.6023  4 O 1.75-1.79
Pb  0.7056  0.6996  0.5400  5 O 2.29-2.55
Pb  0.2944  0.3004  0.4600  5 O 2.29-2.55
Pb  0.0061  0.8404  0.3004  5 O 2.29-2.55
Pb  0.9939  0.1596  0.6996  5 O 2.29-2.55
Pb  0.8343  0.5400  0.8404  5 O 2.29-2.55
Pb  0.1657  0.4600  0.1596  5 O 2.29-2.55

Results
SG   R-3, No. 148


# 8
The following is a meta-GGA SCAN calculation of a crystal of GePbO3 relaxed with PBEsol, from Alexandria.

Unit cell a=7.2405 b=11.4318 c=12.6860 alpha=113.37 beta=90.00 gamma=90.00
With the nearest neighbours (Å) after each atom.
Fractional coordinates of all 60 atoms:
O  0.9742  0.7785  0.6474  1 Ge 1.75
O  0.7655  0.7500  0.2500  2 Ge 1.79
O  0.6247  0.8678  0.5903  1 Ge 1.74
O  0.7936  0.6259  0.4447  2 Ge 1.78-1.79
O  0.2345  0.2500  0.7500  2 Ge 1.79
O  0.3753  0.1322  0.4097  1 Ge 1.74
O  0.2064  0.3741  0.5553  2 Ge 1.78-1.79
O  0.7166  0.3933  0.2951  1 Ge 1.76
O  0.2834  0.6067  0.7049  1 Ge 1.76
O  0.9742  0.7215  0.8526  1 Ge 1.75
O  0.0643  0.9391  0.2887  1 Ge 1.74
O  0.9696  0.6470  0.0391  2 Ge 1.77-1.79
O  0.9696  0.8530  0.4609  2 Ge 1.77-1.79
O  0.9357  0.4391  0.7887  1 Ge 1.74
O  0.5000  0.5000  0.5000  2 Ge 1.76
O  0.0643  0.5609  0.2113  1 Ge 1.74
O  0.0258  0.2215  0.3526  1 Ge 1.75
O  0.2834  0.8933  0.7951  1 Ge 1.76
O  0.4172  0.5925  0.3337  1 Ge 1.72
O  0.2064  0.1259  0.9447  2 Ge 1.78-1.79
O  0.0304  0.1470  0.5391  2 Ge 1.77-1.79
O  0.5000  0.0000  0.0000  2 Ge 1.76
O  0.6954  0.4996  0.1048  1 Ge 1.75
O  0.5828  0.0925  0.8337  1 Ge 1.72
O  0.9357  0.0609  0.7113  1 Ge 1.74
O  0.0304  0.3530  0.9609  2 Ge 1.77-1.79
O  0.4172  0.9075  0.1663  1 Ge 1.72
O  0.7936  0.8741  0.0553  2 Ge 1.78-1.79
O  0.0258  0.2785  0.1474  1 Ge 1.75
O  0.3753  0.3678  0.0903  1 Ge 1.74
O  0.5828  0.4075  0.6663  1 Ge 1.72
O  0.7166  0.1067  0.2049  1 Ge 1.76
O  0.3046  0.9996  0.6048  1 Ge 1.75
O  0.3046  0.5004  0.8952  1 Ge 1.75
O  0.6954  0.0004  0.3952  1 Ge 1.75
O  0.6247  0.6322  0.9097  1 Ge 1.74
Ge  0.8311  0.7123  0.9604  4 O 1.74-1.78
Ge  0.1227  0.3910  0.8476  4 O 1.74-1.79
Ge  0.1227  0.1090  0.6524  4 O 1.74-1.79
Ge  0.8773  0.6090  0.1524  4 O 1.74-1.79
Ge  0.1689  0.2877  0.0396  4 O 1.74-1.78
Ge  0.5938  0.5295  0.3851  4 O 1.72-1.79
Ge  0.5938  0.9705  0.1149  4 O 1.72-1.79
Ge  0.8311  0.7877  0.5396  4 O 1.74-1.78
Ge  0.1689  0.2123  0.4604  4 O 1.74-1.78
Ge  0.4062  0.0295  0.8851  4 O 1.72-1.79
Ge  0.4062  0.4705  0.6149  4 O 1.72-1.79
Ge  0.8773  0.8910  0.3476  4 O 1.74-1.79
Pb  0.6183  0.4138  0.8464  4 O 2.27-2.46
Pb  0.3086  0.7917  0.5954  4 O 2.33-2.53
Pb  0.6914  0.2083  0.4046  4 O 2.33-2.53
Pb  0.9548  0.5529  0.6731  3 O 2.32-2.45
Pb  0.0452  0.4471  0.3269  3 O 2.32-2.45
Pb  0.9548  0.9471  0.8269  3 O 2.32-2.45
Pb  0.0452  0.0529  0.1731  3 O 2.32-2.45
Pb  0.3817  0.9138  0.3464  4 O 2.27-2.46
Pb  0.6183  0.0862  0.6536  4 O 2.27-2.46
Pb  0.3086  0.7083  0.9046  4 O 2.33-2.53
Pb  0.3817  0.5862  0.1536  4 O 2.27-2.46
Pb  0.6914  0.2917  0.0954  4 O 2.33-2.53

Results
SG   P2/c, No. 13


# 9
The following is a meta-GGA SCAN calculation of a crystal of GePb3O5 relaxed with PBEsol, from Alexandria.

Unit cell a=5.2959 b=5.2959 c=5.4437 alpha=90.00 beta=90.00 gamma=90.94
With the nearest neighbours (Å) after each atom.
Fractional coordinates of all 9 atoms:
Pb  0.5000  0.5000  0.4541  5 O 2.31-2.58
Pb  0.5000  0.0000  0.9789  6 O 2.55-2.66
Pb  0.0000  0.5000  0.9789  6 O 2.55-2.66
O  0.8120  0.1880  0.2892  1 Ge 1.77
O  0.5000  0.5000  0.0298  1 Pb 2.31
O  0.1880  0.8120  0.2892  1 Ge 1.77
O  0.1926  0.1926  0.6732  1 Ge 1.77
O  0.8074  0.8074  0.6732  1 Ge 1.77
Ge  0.0000  0.0000  0.4832  4 O 1.77

Results
SG   Cmm2, No. 35
Energy relative to the lowest polymorph listed for this composition   0.120 eV per atom


# 10
The following is a meta-GGA SCAN calculation of a crystal of Ge4PbO9 relaxed with PBEsol, from Alexandria.

Unit cell a=4.6794 b=6.8015 c=6.8015 alpha=114.56 beta=103.35 gamma=103.35
With the nearest neighbours (Å) after each atom.
Fractional coordinates of all 14 atoms:
O  0.3970  0.9055  0.5424  2 Ge 1.74-1.89
O  0.5116  0.2279  0.3758  2 Ge 1.78-1.79
O  0.4884  0.6242  0.7721  2 Ge 1.78-1.79
O  0.8688  0.7145  0.5567  2 Ge 1.75-1.89
O  0.1591  0.7154  0.0775  2 Ge 1.76-1.93
O  0.1312  0.4433  0.2855  2 Ge 1.75-1.89
O  0.6030  0.4576  0.0945  2 Ge 1.74-1.89
O  0.8409  0.9225  0.2846  2 Ge 1.76-1.93
O  0.0000  0.2445  0.7555  2 Ge 1.77
Ge  0.0000  0.6919  0.3081  6 O 1.89-1.93
Ge  0.6800  0.0684  0.4857  4 O 1.74-1.78
Ge  0.3200  0.5143  0.9316  4 O 1.74-1.78
Ge  0.5000  0.5139  0.4861  4 O 1.75-1.79
Pb  0.0000  0.0026  0.9974  6 O 2.46-2.63

Results
SG   C2, No. 5
Energy relative to the lowest polymorph listed for this composition   0.000 eV per atom


# 11
The following is a meta-GGA SCAN calculation of a crystal of Ge3Pb5O11 relaxed with PBEsol, from Alexandria.

Unit cell a=10.2281 b=10.2281 c=10.6754 alpha=90.00 beta=90.00 gamma=120.00
With the nearest neighbours (Å) after each atom.
Fractional coordinates of all 57 atoms:
O  0.7742  0.6813  0.7411  1 Ge 1.75
O  0.9285  0.2833  0.0066  2 Ge 1.82-1.83
O  0.8752  0.4697  0.8467  1 Ge 1.79
O  0.2854  0.8109  0.1638  1 Ge 1.75
O  0.1710  0.4933  0.8376  1 Ge 1.74
O  0.5057  0.4139  0.1680  1 Ge 1.76
O  0.6195  0.9075  0.6341  1 Ge 1.76
O  0.3548  0.0715  0.0066  2 Ge 1.82-1.83
O  0.7666  0.6788  0.2672  1 Ge 1.76
O  0.5303  0.4055  0.8467  1 Ge 1.79
O  0.4980  0.5837  0.4569  1 Ge 1.76
O  0.9121  0.2334  0.2672  1 Ge 1.76
O  0.9082  0.4943  0.1680  1 Ge 1.76
O  0.8086  0.5162  0.4973  1 Ge 1.77
O  0.3223  0.8290  0.8376  1 Ge 1.74
O  0.9071  0.2258  0.7411  1 Ge 1.75
O  0.7167  0.6452  0.0066  2 Ge 1.82-1.83
O  0.4838  0.2924  0.4973  1 Ge 1.77
O  0.1891  0.4745  0.1638  1 Ge 1.75
O  0.2880  0.3805  0.6341  1 Ge 1.76
O  0.6941  0.9287  0.3825  1 Ge 1.77
O  0.0713  0.7654  0.3825  1 Ge 1.77
O  0.3187  0.0929  0.7411  1 Ge 1.75
O  0.0925  0.7120  0.6341  1 Ge 1.76
O  0.0857  0.5020  0.4569  1 Ge 1.76
O  0.5067  0.6777  0.8376  1 Ge 1.74
O  0.5945  0.1248  0.8467  1 Ge 1.79
O  0.3212  0.0879  0.2672  1 Ge 1.76
O  0.5861  0.0918  0.1680  1 Ge 1.76
O  0.2346  0.3059  0.3825  1 Ge 1.77
O  0.7076  0.1914  0.4973  1 Ge 1.77
O  0.4163  0.9143  0.4569  1 Ge 1.76
O  0.5255  0.7146  0.1638  1 Ge 1.75
Ge  0.3930  0.0222  0.8520  4 O 1.74-1.82
Ge  0.3883  0.0079  0.1568  4 O 1.75-1.83
Ge  0.9778  0.3708  0.8520  4 O 1.74-1.82
Ge  0.6196  0.6117  0.1568  4 O 1.75-1.83
Ge  0.6292  0.6070  0.8520  4 O 1.74-1.82
Ge  0.3829  0.3909  0.4937  4 O 1.76-1.77
Ge  0.9921  0.3804  0.1568  4 O 1.75-1.83
Ge  0.0080  0.6171  0.4937  4 O 1.76-1.77
Ge  0.6091  0.9920  0.4937  4 O 1.76-1.77
Pb  0.7455  0.7392  0.4815  3 O 2.23-2.48
Pb  0.7414  0.9945  0.1802  3 O 2.24-2.37
Pb  0.3333  0.6667  0.9996  6 O 2.44-2.49
Pb  0.6667  0.3333  0.3363  3 O 2.42
Pb  0.6667  0.3333  0.0029  6 O 2.51-2.80
Pb  0.3333  0.6667  0.3281  6 O 2.49-2.62
Pb  0.6667  0.3333  0.6631  6 O 2.45-2.71
Pb  0.2608  0.0063  0.4815  3 O 2.23-2.48
Pb  0.2721  0.2751  0.8178  3 O 2.20-2.31
Pb  0.0055  0.7469  0.1802  3 O 2.24-2.37
Pb  0.2531  0.2586  0.1802  3 O 2.24-2.37
Pb  0.0030  0.7279  0.8178  3 O 2.20-2.31
Pb  0.3333  0.6667  0.6745  3 O 2.45
Pb  0.9937  0.2545  0.4815  3 O 2.23-2.48
Pb  0.7249  0.9970  0.8178  3 O 2.20-2.31

Results
SG   P3, No. 143


# 12
The following is a meta-GGA SCAN calculation of a crystal of GePbO2 relaxed with PBEsol, from Alexandria.

Unit cell a=4.2806 b=4.2806 c=4.2806 alpha=60.00 beta=60.00 gamma=60.00
With the nearest neighbours (Å) after each atom.
Fractional coordinates of all 4 atoms:
Ge  0.0000  0.0000  0.0000  8 O 2.62
O  0.7500  0.7500  0.7500  4 Pb 2.62, 4 Ge 2.62
O  0.2500  0.2500  0.2500  4 Ge 2.62, 4 Pb 2.62
Pb  0.5000  0.5000  0.5000  8 O 2.62

Results
SG   Fm-3m, No. 225


no.,calculated density (g/cm3),energy (eV per atom)
1,3.45,-10.5887
2,4.62,-16.1698
3,3.94,-12.3639
4,6.01,-21.8070
5,5.97,-16.5742
6,8.60,-32.2491
7,6.41,-24.3065
8,6.78,-24.2949
9,8.42,-32.1294
10,5.99,-16.5809
11,7.37,-28.0694
12,9.34,-27.1830